1.
Here is a geometry-optimized Tb5Pr3Er2 structure from the Alexandria database. Energies are from PBE.

```
20
Lattice="-9.138 0.847 -2.435 -0.913 0.351 -9.408 4.347 -8.589 5.689" Properties=species:S:1:pos:R:3 pbc="T T T"
Tb -0.552 -2.109 -2.541
Tb -0.398 -5.851 2.059
Tb -3.039 -3.111 -5.414
Tb -2.666 -4.280 -0.739
Tb -5.307 -1.540 -8.213
Tb -2.933 -7.420 -0.830
Tb -2.772 0.029 -5.323
Tb -5.153 -5.282 -3.612
Tb -7.156 -2.926 -1.929
Tb 1.452 -4.465 -4.224
Pr -5.919 -5.522 -0.224
Pr -6.038 -1.370 -4.813
Pr 1.171 -7.773 -4.320
Pr 0.333 -6.021 -1.341
Pr -6.875 0.382 -1.833
Pr 0.214 -1.869 -5.929
Er -1.713 -5.645 -3.760
Er -3.991 -1.747 -2.394
Er -3.850 -5.636 2.202
Er -1.855 -1.755 -8.356
```

Properties
Energy relative to the lowest polymorph listed for this composition   0.000 eV/f.u.
Total DFT energy (no corrections)   -89.44 eV for the cell shown
Spin magnetization   0.00 Bohr magnetons per cell
Formation energy   189.4 meV per atom
SG   No. 15


2.
Here is a geometry-optimized TmNiOs structure from the Alexandria database. Energies are from PBE.

```
6
Lattice="-2.445 -2.207 -3.307 4.225 0.110 -3.197 2.408 -2.379 3.101" Properties=species:S:1:pos:R:3 pbc="T T T"
Ni 2.371 -2.267 -3.534
Ni 1.818 -2.208 0.130
Tm 0.216 -2.200 -1.986
Tm 3.972 -2.275 -1.418
Os 0.000 0.000 0.000
Os 2.113 0.055 -1.599
```

Properties
Energy relative to the lowest polymorph listed for this composition   0.920 eV/f.u.
Total DFT energy (no corrections)   -43.67 eV for the cell shown
Spin magnetization   0.00 Bohr magnetons per cell
Formation energy   -118.2 meV per atom
SG   No. 63


3.
Here is a geometry-optimized Sr5B3O9F structure from the Alexandria database. Energies are from PBE.

```
72
Lattice="7.310 0.000 0.000 0.000 9.889 0.000 0.000 0.000 14.305" Properties=species:S:1:pos:R:3 pbc="T T T"
F 2.638 7.551 10.729
F 1.017 2.607 3.576
F 4.672 2.337 3.576
F 6.293 7.282 10.729
Sr 1.772 1.245 5.443
Sr 1.772 1.245 1.710
Sr 1.883 6.189 12.596
Sr 5.428 3.700 5.443
Sr 0.196 7.370 1.602
Sr 5.208 5.131 10.729
Sr 5.538 8.644 12.596
Sr 7.114 2.518 8.755
Sr 5.538 8.644 8.862
Sr 3.852 7.463 1.602
Sr 1.883 6.189 8.862
Sr 2.102 4.757 3.576
Sr 1.553 9.702 10.729
Sr 3.459 2.426 12.703
Sr 0.196 7.370 5.551
Sr 7.114 2.518 12.703
Sr 5.757 0.187 3.576
Sr 5.428 3.700 1.710
Sr 3.459 2.426 8.755
Sr 3.852 7.463 5.551
O 0.429 4.576 10.729
O 5.281 1.026 13.657
O 1.637 0.702 8.148
O 2.961 3.431 5.860
O 6.482 0.441 10.729
O 5.724 7.435 3.576
O 5.292 4.243 8.148
O 1.626 3.918 7.801
O 2.018 5.646 0.995
O 5.673 9.187 6.158
O 6.616 1.513 1.292
O 5.673 9.187 0.995
O 2.018 5.646 6.158
O 2.069 7.398 3.576
O 4.084 0.368 10.729
O 6.882 5.312 3.576
O 4.350 6.457 13.013
O 1.626 3.918 13.657
O 6.616 1.513 5.860
O 3.227 9.521 3.576
O 2.827 4.503 10.729
O 5.684 5.971 0.648
O 4.483 5.386 3.576
O 1.586 2.454 10.729
O 5.292 4.243 13.310
O 0.695 8.376 13.013
O 5.281 1.026 7.801
O 2.029 8.862 0.648
O 2.961 3.431 1.292
O 0.695 8.376 8.445
O 4.350 6.457 8.445
O 2.029 8.862 6.505
O 5.684 5.971 6.505
O 5.241 2.491 10.729
O 1.637 0.702 13.310
O 0.828 9.448 3.576
B 5.704 6.038 3.576
B 2.195 4.331 6.599
B 5.115 5.557 7.707
B 1.460 9.276 7.707
B 2.049 8.795 3.576
B 1.606 3.851 10.729
B 5.850 0.613 6.599
B 5.115 5.557 13.751
B 1.460 9.276 13.751
B 5.850 0.613 0.554
B 5.261 1.094 10.729
B 2.195 4.331 0.554
```

Properties
Formation energy without anion corrections   -2.9539 eV per atom
Total DFT energy (no corrections)   -512.43 eV for the cell shown
Spin magnetization   0.00 Bohr magnetons per cell
SG   No. 62


4.
Here is a geometry-optimized NdSn3Hg structure from the Alexandria database. Energies are from PBE.

```
5
Lattice="-0.886 2.429 5.719 -5.048 3.151 -2.041 -0.648 -5.805 2.337" Properties=species:S:1:pos:R:3 pbc="T T T"
Nd 0.000 0.000 0.000
Sn -0.324 -2.902 1.168
Sn -2.524 1.576 -1.020
Sn -2.848 -1.327 0.148
Hg -0.443 1.215 2.859
```

Properties
Total DFT energy (no corrections)   -16.80 eV for the cell shown
Spin magnetization   0.26 Bohr magnetons per cell
Formation energy   55.9 meV per atom
SG   No. 2


5.
Here is a geometry-optimized LaReSb2 structure from the Alexandria database. Energies are from PBE.

```
4
Lattice="-2.730 0.815 -1.836 -1.622 -2.720 1.206 -2.769 4.329 6.039" Properties=species:S:1:pos:R:3 pbc="T T T"
La -2.868 0.129 1.195
Sb -1.519 2.374 3.313
Sb -2.635 4.119 5.746
Re -4.253 2.294 4.215
```

Properties
Energy relative to the lowest polymorph listed for this composition   0.838 eV/f.u.
Formation energy without anion corrections   -0.0539 eV per atom
Total DFT energy (no corrections)   -25.84 eV for the cell shown
Spin magnetization   0.00 Bohr magnetons per cell
SG   No. 123


6.
Here is a geometry-optimized MgSiTc2 structure from the Alexandria database. Energies are from PBE.

```
4
Lattice="0.004 -1.245 2.497 -1.332 -1.512 -1.931 7.133 -3.832 -1.922" Properties=species:S:1:pos:R:3 pbc="T T T"
Tc 6.939 -3.727 -1.869
Tc 3.761 -2.020 -1.013
Si 4.686 -4.252 -1.158
Mg 1.119 -2.336 -0.197
```

Properties
Energy relative to the lowest polymorph listed for this composition   0.541 eV/f.u.
Formation energy without anion corrections   0.0184 eV per atom
Total DFT energy (no corrections)   -27.68 eV for the cell shown
Spin magnetization   0.00 Bohr magnetons per cell
SG   No. 65